1.
{"formula": "BeHgSe2", "functional": "PBE", "state": "optimized geometry", "n_ef_per_ev_cell": 1.64, "e_form_raw_ev_per_atom": 0.006, "e_tot_ev_per_atom": -2.743, "spacegroup": "No. 65", "lattice": [[3.963, 0.011, 0.000], [-2.456, 3.111, 0.000], [0.000, 0.000, 7.938]], "species": ["Be", "Se", "Hg", "Se"], "fractional_positions": [[0.500, 0.500, 0.250], [0.000, 0.000, 0.073], [0.500, 0.500, 0.750], [0.000, 0.000, 0.427]]}

2.
{"formula": "Be2HgSe", "functional": "PBE", "state": "optimized geometry", "n_ef_per_ev_cell": 0.86, "e_form_raw_ev_per_atom": 0.286, "e_tot_ev_per_atom": -2.524, "spacegroup": "No. 44", "lattice": [[6.388, 0.014, 0.002], [4.685, 4.343, -0.002], [-5.536, -2.179, 2.326]], "species": ["Se", "Be", "Be", "Hg"], "fractional_positions": [[0.213, 0.713, 0.500], [0.766, 0.266, 0.500], [0.067, 0.067, 0.000], [0.454, 0.454, 0.000]]}

3.
{"formula": "BeHg2Se", "functional": "PBE", "state": "optimized geometry", "n_ef_per_ev_cell": 0.53, "e_form_raw_ev_per_atom": 0.028, "e_tot_ev_per_atom": -1.926, "spacegroup": "No. 44", "lattice": [[-1.740, -4.266, 3.889], [4.780, -3.662, -0.310], [-2.141, 5.344, 1.794]], "species": ["Hg", "Se", "Hg", "Be"], "fractional_positions": [[0.046, 0.046, 0.000], [0.415, 0.415, 0.000], [0.749, 0.249, 0.500], [0.291, 0.791, 0.500]]}

4.
{"formula": "BeHgSe4", "functional": "PBE", "state": "optimized geometry", "n_ef_per_ev_cell": 2.18, "e_form_raw_ev_per_atom": 0.782, "e_tot_ev_per_atom": -2.213, "spacegroup": "No. 216", "lattice": [[-2.543, 2.252, 4.646], [-3.195, 4.762, -0.492], [-5.719, -0.298, 0.579]], "species": ["Hg", "Se", "Be", "Se", "Se", "Se"], "fractional_positions": [[0.000, 0.000, 0.000], [0.375, 0.375, 0.875], [0.750, 0.750, 0.750], [0.375, 0.375, 0.375], [0.875, 0.375, 0.375], [0.375, 0.875, 0.375]]}

5.
{"formula": "BeHgSe2", "functional": "PBE", "state": "optimized geometry", "n_ef_per_ev_cell": 0.83, "e_form_raw_ev_per_atom": 0.266, "e_tot_ev_per_atom": -2.484, "spacegroup": "No. 119", "lattice": [[9.205, 0.438, 0.000], [7.523, 5.322, 0.000], [-8.364, -2.880, 2.583]], "species": ["Se", "Be", "Hg", "Se"], "fractional_positions": [[0.250, 0.750, 0.500], [0.500, 0.500, 0.000], [0.750, 0.250, 0.500], [0.000, 0.000, 0.000]]}

6.
{"formula": "BeHg3Se4", "functional": "PBE", "state": "optimized geometry", "n_ef_per_ev_cell": 1.23, "e_form_raw_ev_per_atom": -0.329, "e_tot_ev_per_atom": -2.650, "spacegroup": "No. 121", "lattice": [[5.390, 0.000, -2.613], [-1.267, 5.239, -2.613], [0.208, 0.265, 7.294]], "species": ["Se", "Hg", "Hg", "Se", "Be", "Se", "Se", "Hg"], "fractional_positions": [[0.328, 0.328, 0.222], [0.750, 0.250, 0.500], [0.500, 0.500, 0.000], [0.893, 0.893, 0.222], [0.000, 0.000, 0.000], [0.107, 0.672, 0.778], [0.672, 0.107, 0.778], [0.250, 0.750, 0.500]]}